# 1
Below is a relaxed YCrCu2 crystal, with properties calculated at the PBE-GGA level.

Summary:
The calculation puts the spin magnetization at 7.725 Bohr magnetons per cell. Its uncorrected energy is -5.873 eV/atom.

Lattice parameters (Å, degrees): 3.7541 4.3225 8.5175 90.00 90.00 90.00
Last column: nearest neighbours and their distance in Å.
Space group Imm2 (No. 44)
One atom of each set of equivalent atoms:
1 Y 0.0000 0.0000 0.0000  8 Cu 2.87-2.96, 4 Cr 2.93-2.95
2 Cr 0.0000 0.5000 0.7672  8 Cu 2.85-3.03, 4 Y 2.93-2.95
3 Cu 0.0000 0.0000 0.5185  2 Cu 2.65, 2 Cr 2.85, 4 Y 2.87
4 Cu 0.0000 0.5000 0.2381  2 Cu 2.65, 4 Cr 2.87, 4 Y 2.92-2.96


# 2
Below is a relaxed YCrCu2 crystal, with properties calculated at the PBE-GGA level.

Summary:
The calculation puts the spin magnetization at 3.547 Bohr magnetons per cell. Its uncorrected energy is -5.923 eV/atom.

Lattice parameters (Å, degrees): 3.2825 3.2825 6.3679 90.00 90.00 90.00
Last column: nearest neighbours and their distance in Å.
Space group P4/mmm (No. 123)
One atom of each set of equivalent atoms:
1 Y 0.0000 0.0000 0.0000  8 Cu 2.99, 2 Cr 3.18, 4 Y 3.28
2 Cr 0.0000 0.0000 0.5000  8 Cu 2.66
3 Cu 0.5000 0.5000 0.2960  1 Cu 2.60, 4 Cr 2.66


# 3
Below is a relaxed YCr2Cu crystal, with properties calculated at the PBE-GGA level.

Summary:
The calculation puts the spin magnetization at 31.683 Bohr magnetons per cell. Its uncorrected energy is -6.873 eV/atom.

Lattice parameters (Å, degrees): 6.5984 6.5984 6.5984 90.00 90.00 90.00
Last column: nearest neighbours and their distance in Å.
Space group Fm-3m (No. 225)
One atom of each set of equivalent atoms:
1 Y 0.0000 0.0000 0.0000  8 Cr 2.86
2 Cr 0.2500 0.2500 0.2500  4 Cu 2.86, 4 Y 2.86
3 Cu 0.0000 0.0000 0.5000  8 Cr 2.86